(1)
# TlTe2Pd

A relaxed TlTe2Pd crystal (PBE, Alexandria via LeMat-Bulk).

abc: 6.4597 6.4597 7.9570
angles: 66.05 66.05 90.00
Atoms (fractional coordinates):
Te: 0.8750 0.8241 0.7500
Pd: 0.5000 0.5000 0.0000
Te: 0.5741 0.1250 0.2500
Te: 0.3750 0.4259 0.7500
Pd: 0.2500 0.7500 0.5000
Tl: 0.7500 0.2500 0.5000
Tl: 0.0000 0.0000 0.0000
Te: 0.1759 0.6250 0.2500

Output
- Polymorph energy (0 for the lowest one): 107 meV/atom
- Crystal system: tetragonal
- Fermi-level density of states: 7.09 states/eV per cell
- Space group: No. 122



(2)
# Rb3LiAs2O6

A relaxed Rb3LiAs2O6 crystal (PBE, Alexandria via LeMat-Bulk).

abc: 6.1358 6.1358 7.3630
angles: 90.00 90.00 120.00
Atoms (fractional coordinates):
Rb: 0.3333 0.6667 0.6709
O: 0.3572 0.1786 0.6979
Rb: 0.6667 0.3333 0.3291
O: 0.8214 0.1786 0.6979
O: 0.6428 0.8214 0.3021
Rb: 0.0000 0.0000 0.0000
As: 0.6667 0.3333 0.7735
As: 0.3333 0.6667 0.2265
O: 0.1786 0.8214 0.3021
O: 0.8214 0.6428 0.6979
Li: 0.0000 0.0000 0.5000
O: 0.1786 0.3572 0.3021

Output
- Crystal system: trigonal
- Fermi-level density of states: 2.95 states/eV per cell
- Space group: No. 164



Number 1: raw formation energy -0.7 eV per formula unit. Number 2: raw formation energy -17.3 eV per formula unit.